GeAsPbO6 | PBE | optimized geometry

Lattice parameters (Å, degrees): 5.0383 5.0383 5.0289 90.00 90.00 60.00
With the nearest neighbours (Å) after each atom.
Element x y z (fractional)
Ge: 0.6666 0.6667 0.5000  6 O 1.92
As: 0.3333 0.3333 0.5000  6 O 1.87
Pb: 0.0000 0.0000 0.0000  6 O 2.41
O: 0.0069 0.3752 0.2921  1 As 1.87, 1 Ge 1.92
O: 0.3752 0.0069 0.7079  1 As 1.87, 1 Ge 1.92
O: 0.6178 0.3752 0.7079  1 As 1.87, 1 Ge 1.92
O: 0.0069 0.6179 0.7079  1 As 1.87, 1 Ge 1.92
O: 0.3752 0.6179 0.2921  1 As 1.87, 1 Ge 1.92
O: 0.6178 0.0069 0.2921  1 As 1.87, 1 Ge 1.92

Summary:
- Crystal system: trigonal
- Energy: -6.039 eV per atom

=====

LaY2Zr | PBE | optimized geometry

Lattice parameters (Å, degrees): 6.0536 6.0536 6.1047 81.06 81.06 33.32
With the nearest neighbours (Å) after each atom.
Element x y z (fractional)
La: 0.7500 0.7500 0.7500  6 Y 3.45-3.59, 2 La 3.47, 4 Zr 3.51
Y: 0.9927 0.9927 0.0108  6 Y 3.43-3.61, 3 Zr 3.43-3.53, 3 La 3.45-3.59
Y: 0.5073 0.5073 0.4892  6 Y 3.43-3.61, 3 Zr 3.43-3.53, 3 La 3.45-3.59
Zr: 0.2500 0.2500 0.2500  6 Y 3.43-3.53, 2 Zr 3.47, 4 La 3.51

Summary:
- Energy above the lowest structure with this stoichiometry: 1.02 kcal/mol of atoms
- Crystal system: monoclinic
- Energy relative to the elements: 120 meV per atom

=====

TlZn2Mo | PBE | optimized geometry

Lattice parameters (Å, degrees): 4.6392 4.6392 4.6392 60.00 60.00 60.00
With the nearest neighbours (Å) after each atom.
Element x y z (fractional)
Zn: 0.2500 0.2500 0.2500  4 Tl 2.84, 4 Mo 2.84
Zn: 0.7500 0.7500 0.7500  4 Mo 2.84, 4 Tl 2.84
Tl: 0.5000 0.5000 0.5000  8 Zn 2.84
Mo: 0.0000 0.0000 0.0000  8 Zn 2.84

Summary:
- Energy above the lowest structure with this stoichiometry: 8.31 kcal/mol of atoms
- Crystal system: cubic
- Energy relative to the elements: 686 meV per atom